# HoAu2

A relaxed HoAu2 crystal (GGA-PBEsol, Alexandria).

Cell: 3.6592 3.6592 5.1382 Å, 110.86 110.86 90.00°
Positions (direct):
Au  0.1658  0.1658  0.3315
Au  0.8342  0.8342  0.6685
Ho  0.5000  0.5000  0.0000

The value obtained for the volume is 59.4 Å³/f.u. As for the formation energy: -0.889 eV per atom. The calculation puts the uncorrected energy at -5.16 eV per atom. As for the space group: No. 139.

=====

# HoAu4

A relaxed HoAu4 crystal (GGA-PBEsol, Alexandria).

Cell: 4.1316 5.1358 5.1358 Å, 80.69 66.28 66.28°
Positions (direct):
Au  0.4006  0.7979  0.4009
Au  0.5994  0.2021  0.5991
Au  0.1985  0.4009  0.2021
Au  0.8015  0.5991  0.7979
Ho  0.0000  0.0000  0.0000

The value obtained for the volume is 91.3 Å³/f.u. As for the formation energy: -0.618 eV per atom. The calculation puts the uncorrected energy at -4.75 eV per atom. As for the space group: No. 87.

=====

# HoInAu

A relaxed HoInAu crystal (GGA-PBEsol, Alexandria).

Cell: 3.8668 7.6582 7.6582 Å, 120.00 90.00 90.00°
Positions (direct):
Ho  0.5000  0.5970  0.0000
Ho  0.5000  0.4030  0.4030
Ho  0.5000  0.0000  0.5970
In  0.0000  0.2632  0.0000
In  0.0000  0.7368  0.7368
In  0.0000  0.0000  0.2632
Au  0.0000  0.3333  0.6667
Au  0.0000  0.6667  0.3333
Au  0.5000  0.0000  0.0000

The value obtained for the volume is 65.5 Å³/f.u. As for the formation energy: -0.798 eV per atom. The calculation puts the uncorrected energy at -4.75 eV per atom. As for the space group: No. 189.

=====

# HoLuAu2

A relaxed HoLuAu2 crystal (GGA-PBEsol, Alexandria).

Cell: 4.9413 4.9413 4.9413 Å, 60.00 60.00 60.00°
Positions (direct):
Lu  0.5000  0.5000  0.5000
Au  0.2500  0.2500  0.2500
Au  0.7500  0.7500  0.7500
Ho  0.0000  0.0000  0.0000

The value obtained for the volume is 85.3 Å³/f.u. As for the formation energy: -0.897 eV per atom. The calculation puts the uncorrected energy at -5.31 eV per atom. As for the space group: No. 225.

=====

- Number 1 is which compound?
  HoAu2